This record from Alexandria describes KScC3 after structural relaxation. The functional is PBE-GGA.

Structure (CIF):
```
data_KScC3
_cell_length_a 4.4086
_cell_length_b 4.4086
_cell_length_c 4.4086
_cell_angle_alpha 90.00
_cell_angle_beta 90.00
_cell_angle_gamma 90.00
_space_group_name_H-M_alt 'P 1'
_space_group_IT_number 1
_space_group_name_Hall 'P 1'
loop_
_atom_site_label
_atom_site_type_symbol
_atom_site_fract_x
_atom_site_fract_y
_atom_site_fract_z
K1 K 0.0000 0.0000 0.0000
Sc1 Sc 0.5000 0.5000 0.5000
C1 C 0.0000 0.5000 0.5000
C2 C 0.5000 0.0000 0.5000
C3 C 0.5000 0.5000 0.0000
```

V = 85.68 Å³/cell
energy of formation = 47.10 kcal/mol of atoms
space-group type = No. 221
energy relative to the lowest polymorph listed for this composition = 0.0 meV per atom
N(E_F) = 1.976 states/eV/f.u.
crystal system = cubic

=====

This record from Alexandria describes K4Sc2C after structural relaxation. The functional is PBE-GGA.

Structure (CIF):
```
data_K4Sc2C
_cell_length_a 9.4917
_cell_length_b 9.4917
_cell_length_c 9.4917
_cell_angle_alpha 138.21
_cell_angle_beta 138.21
_cell_angle_gamma 60.59
_space_group_name_H-M_alt 'P 1'
_space_group_IT_number 1
_space_group_name_Hall 'P 1'
loop_
_atom_site_label
_atom_site_type_symbol
_atom_site_fract_x
_atom_site_fract_y
_atom_site_fract_z
K1 K 0.0000 0.5000 0.5000
K2 K 0.1703 0.1703 0.0000
K3 K 0.5000 0.0000 0.5000
K4 K 0.8297 0.8297 0.0000
Sc1 Sc 0.4156 0.4156 0.0000
Sc2 Sc 0.5844 0.5844 0.0000
C1 C 0.0000 0.0000 0.0000
```

V = 375.76 Å³/cell
energy of formation = 31.14 kcal/mol of atoms
space-group type = No. 139
N(E_F) = 7.894 states/eV/f.u.
crystal system = tetragonal

=====

This record from Alexandria describes KSc2SiC after structural relaxation. The functional is PBE-GGA.

Structure (CIF):
```
data_KSc2SiC
_cell_length_a 4.6856
_cell_length_b 4.6856
_cell_length_c 4.3784
_cell_angle_alpha 90.00
_cell_angle_beta 90.00
_cell_angle_gamma 90.00
_space_group_name_H-M_alt 'P 1'
_space_group_IT_number 1
_space_group_name_Hall 'P 1'
loop_
_atom_site_label
_atom_site_type_symbol
_atom_site_fract_x
_atom_site_fract_y
_atom_site_fract_z
K1 K 0.0000 0.0000 0.0000
Sc1 Sc 0.0000 0.5000 0.5000
Sc2 Sc 0.5000 0.0000 0.5000
Si1 Si 0.5000 0.5000 0.0000
C1 C 0.5000 0.5000 0.5000
```

V = 96.13 Å³/cell
space-group type = No. 123
energy = -26.53 eV per cell
N(E_F) = 3.389 states/eV/f.u.
crystal system = tetragonal

=====

Question: The lowest V belongs to which entry?
Answer: KScC3